Record 1
! CaGaRh3 (GGA-PBE, optimized geometry); values from VASP
&SYSTEM
  ibrav = 0, nat = 5, ntyp = 3
/
ATOMIC_SPECIES
Ca 40.08 Ca.upf
Ga 69.72 Ga.upf
Rh 102.91 Rh.upf
CELL_PARAMETERS angstrom
4.759 0.000 0.000
0.000 4.759 0.000
0.000 0.000 4.759
ATOMIC_POSITIONS crystal
Ca 0.000 0.000 0.000
Ga 0.500 0.500 0.500
Rh 0.000 0.000 0.500
Rh 0.000 0.500 0.000
Rh 0.500 0.000 0.000
! M_tot = 1.74 μB per cell
! Calculated density = 6.45 g/cm3
! Space-group type = Pm-3m
! E_tot = -4.073 eV per atom
! Energy of formation from the pure elements = 1343 meV/atom

***

Record 2
! Ca2GaRh (GGA-PBE, optimized geometry); values from VASP
&SYSTEM
  ibrav = 0, nat = 16, ntyp = 3
/
ATOMIC_SPECIES
Ca 40.08 Ca.upf
Ga 69.72 Ga.upf
Rh 102.91 Rh.upf
CELL_PARAMETERS angstrom
10.215 0.000 0.000
0.000 10.215 0.000
0.000 0.000 4.830
ATOMIC_POSITIONS crystal
Ca 0.086 0.250 0.125
Ca 0.250 0.586 0.375
Ca 0.250 0.914 0.875
Ca 0.414 0.250 0.625
Ca 0.586 0.750 0.625
Ca 0.750 0.086 0.875
Ca 0.750 0.414 0.375
Ca 0.914 0.750 0.125
Ga 0.000 0.000 0.500
Ga 0.000 0.500 0.750
Ga 0.500 0.000 0.250
Ga 0.500 0.500 0.000
Rh 0.000 0.000 0.000
Rh 0.000 0.500 0.250
Rh 0.500 0.000 0.750
Rh 0.500 0.500 0.500
! M_tot = 0.00 μB per cell
! Calculated density = 3.33 g/cm3
! Space-group type = I-42d
! E_tot = -3.910 eV per atom
! Energy of formation from the pure elements = -315 meV/atom

***

Record 3
! CaGa2Rh (GGA-PBE, optimized geometry); values from VASP
&SYSTEM
  ibrav = 0, nat = 16, ntyp = 3
/
ATOMIC_SPECIES
Ca 40.08 Ca.upf
Ga 69.72 Ga.upf
Rh 102.91 Rh.upf
CELL_PARAMETERS angstrom
7.529 0.000 0.000
0.000 6.939 0.000
0.000 0.000 5.875
ATOMIC_POSITIONS crystal
Ca 0.036 0.250 0.111
Ca 0.464 0.750 0.611
Ca 0.536 0.250 0.389
Ca 0.964 0.750 0.889
Ga 0.161 0.056 0.589
Ga 0.161 0.444 0.589
Ga 0.339 0.556 0.089
Ga 0.339 0.944 0.089
Ga 0.661 0.056 0.911
Ga 0.661 0.444 0.911
Ga 0.839 0.556 0.411
Ga 0.839 0.944 0.411
Rh 0.134 0.750 0.350
Rh 0.366 0.250 0.850
Rh 0.634 0.750 0.150
Rh 0.866 0.250 0.650
! M_tot = 0.00 μB per cell
! Calculated density = 6.11 g/cm3
! Space-group type = Pnma
! E_tot = -4.517 eV per atom
! Energy of formation from the pure elements = -665 meV/atom

***

Record 4
! Ca3Ga5Rh6 (GGA-PBE, optimized geometry); values from VASP
&SYSTEM
  ibrav = 0, nat = 28, ntyp = 3
/
ATOMIC_SPECIES
Ca 40.08 Ca.upf
Ga 69.72 Ga.upf
Rh 102.91 Rh.upf
CELL_PARAMETERS angstrom
4.257 0.000 0.000
0.000 12.891 0.000
0.000 0.000 8.964
ATOMIC_POSITIONS crystal
Ca 0.250 0.054 0.244
Ca 0.250 0.446 0.244
Ca 0.250 0.750 0.232
Ca 0.750 0.250 0.768
Ca 0.750 0.554 0.756
Ca 0.750 0.946 0.756
Ga 0.250 0.096 0.874
Ga 0.250 0.404 0.874
Ga 0.250 0.631 0.525
Ga 0.250 0.750 0.804
Ga 0.250 0.869 0.525
Ga 0.750 0.131 0.475
Ga 0.750 0.250 0.196
Ga 0.750 0.369 0.475
Ga 0.750 0.596 0.126
Ga 0.750 0.904 0.126
Rh 0.250 0.065 0.591
Rh 0.250 0.250 0.047
Rh 0.250 0.250 0.410
Rh 0.250 0.435 0.591
Rh 0.250 0.588 0.978
Rh 0.250 0.912 0.978
Rh 0.750 0.088 0.022
Rh 0.750 0.412 0.022
Rh 0.750 0.565 0.409
Rh 0.750 0.750 0.590
Rh 0.750 0.750 0.953
Rh 0.750 0.935 0.409
! M_tot = 0.00 μB per cell
! Calculated density = 7.33 g/cm3
! Space-group type = Pmmn
! E_tot = -5.322 eV per atom
! Energy of formation from the pure elements = -662 meV/atom

***

Record 5
! Ca2Ga5Ru2Rh (GGA-PBE, optimized geometry); values from VASP
&SYSTEM
  ibrav = 0, nat = 20, ntyp = 4
/
ATOMIC_SPECIES
Ca 40.08 Ca.upf
Ga 69.72 Ga.upf
Ru 101.07 Ru.upf
Rh 102.91 Rh.upf
CELL_PARAMETERS angstrom
10.697 0.000 0.000
0.000 10.697 0.000
0.000 0.000 3.101
ATOMIC_POSITIONS crystal
Ca 0.179 0.321 0.000
Ca 0.321 0.821 0.000
Ca 0.679 0.179 0.000
Ca 0.821 0.679 0.000
Ga 0.000 0.500 0.500
Ga 0.058 0.810 0.500
Ga 0.190 0.058 0.500
Ga 0.310 0.558 0.500
Ga 0.442 0.310 0.500
Ga 0.500 0.000 0.500
Ga 0.558 0.690 0.500
Ga 0.690 0.442 0.500
Ga 0.810 0.942 0.500
Ga 0.942 0.190 0.500
Ru 0.131 0.631 0.000
Ru 0.369 0.131 0.000
Ru 0.631 0.869 0.000
Ru 0.869 0.369 0.000
Rh 0.000 0.000 0.000
Rh 0.500 0.500 0.000
! M_tot = 0.00 μB per cell
! Calculated density = 6.87 g/cm3
! Space-group type = P4/mbm
! E_tot = -4.881 eV per atom
! Energy of formation from the pure elements = -377 meV/atom

***

Record 6
! CaGa4RuRh2 (GGA-PBE, optimized geometry); values from VASP
&SYSTEM
  ibrav = 0, nat = 8, ntyp = 4
/
ATOMIC_SPECIES
Ca 40.08 Ca.upf
Ga 69.72 Ga.upf
Ru 101.07 Ru.upf
Rh 102.91 Rh.upf
CELL_PARAMETERS angstrom
2.111 1.219 8.894
-2.111 1.219 8.894
0.000 -2.437 8.894
ATOMIC_POSITIONS crystal
Ca 0.000 0.000 0.000
Ga 0.133 0.133 0.133
Ga 0.404 0.404 0.404
Ga 0.596 0.596 0.596
Ga 0.867 0.867 0.867
Ru 0.500 0.500 0.500
Rh 0.237 0.237 0.237
Rh 0.763 0.763 0.763
! M_tot = 0.00 μB per cell
! Calculated density = 7.57 g/cm3
! Space-group type = R-3m
! E_tot = -5.323 eV per atom
! Energy of formation from the pure elements = -562 meV/atom

***

Record 7
! Ca2GaRhSe (GGA-PBE, optimized geometry); values from VASP
&SYSTEM
  ibrav = 0, nat = 5, ntyp = 4
/
ATOMIC_SPECIES
Ca 40.08 Ca.upf
Ga 69.72 Ga.upf
Rh 102.91 Rh.upf
Se 78.96 Se.upf
CELL_PARAMETERS angstrom
5.602 0.000 0.000
0.000 5.602 0.000
0.000 0.000 4.463
ATOMIC_POSITIONS crystal
Ca 0.000 0.500 0.000
Ca 0.500 0.000 0.000
Ga 0.000 0.000 0.000
Rh 0.000 0.000 0.500
Se 0.500 0.500 0.500
! M_tot = 0.00 μB per cell
! Calculated density = 3.93 g/cm3
! Space-group type = P4/mmm
! E_tot = -3.866 eV per atom

***

Record 8
! Ca2GaSi2Rh5 (GGA-PBE, optimized geometry); values from VASP
&SYSTEM
  ibrav = 0, nat = 20, ntyp = 4
/
ATOMIC_SPECIES
Ca 40.08 Ca.upf
Ga 69.72 Ga.upf
Si 28.09 Si.upf
Rh 102.91 Rh.upf
CELL_PARAMETERS angstrom
10.018 0.000 0.000
0.000 10.018 0.000
0.000 0.000 3.213
ATOMIC_POSITIONS crystal
Ca 0.173 0.327 0.000
Ca 0.327 0.827 0.000
Ca 0.673 0.173 0.000
Ca 0.827 0.673 0.000
Ga 0.000 0.000 0.000
Ga 0.500 0.500 0.000
Si 0.128 0.628 0.000
Si 0.372 0.128 0.000
Si 0.628 0.872 0.000
Si 0.872 0.372 0.000
Rh 0.000 0.500 0.500
Rh 0.068 0.793 0.500
Rh 0.207 0.068 0.500
Rh 0.293 0.568 0.500
Rh 0.432 0.293 0.500
Rh 0.500 0.000 0.500
Rh 0.568 0.707 0.500
Rh 0.707 0.432 0.500
Rh 0.793 0.932 0.500
Rh 0.932 0.207 0.500
! M_tot = 0.00 μB per cell
! Calculated density = 7.42 g/cm3
! Space-group type = P4/mbm
! E_tot = -6.268 eV per atom

***

Record 9
! CaGa2SiRh (GGA-PBE, optimized geometry); values from VASP
&SYSTEM
  ibrav = 0, nat = 10, ntyp = 4
/
ATOMIC_SPECIES
Ca 40.08 Ca.upf
Ga 69.72 Ga.upf
Si 28.09 Si.upf
Rh 102.91 Rh.upf
CELL_PARAMETERS angstrom
4.068 0.000 0.000
0.000 4.079 0.000
0.000 0.000 10.900
ATOMIC_POSITIONS crystal
Ca 0.000 0.000 0.000
Ca 0.500 0.500 0.500
Ga 0.000 0.000 0.386
Ga 0.000 0.500 0.247
Ga 0.500 0.000 0.747
Ga 0.500 0.500 0.886
Si 0.000 0.000 0.615
Si 0.500 0.500 0.115
Rh 0.000 0.500 0.736
Rh 0.500 0.000 0.236
! M_tot = 0.00 μB per cell
! Calculated density = 5.70 g/cm3
! Space-group type = Imm2
! E_tot = -4.721 eV per atom

***

Record 10
! CaGa2SiRh2 (GGA-PBE, optimized geometry); values from VASP
&SYSTEM
  ibrav = 0, nat = 6, ntyp = 4
/
ATOMIC_SPECIES
Ca 40.08 Ca.upf
Ga 69.72 Ga.upf
Si 28.09 Si.upf
Rh 102.91 Rh.upf
CELL_PARAMETERS angstrom
4.506 0.000 0.000
0.000 4.506 0.000
0.000 0.000 5.631
ATOMIC_POSITIONS crystal
Ca 0.000 0.000 0.000
Ga 0.500 0.500 0.235
Ga 0.500 0.500 0.765
Si 0.000 0.000 0.500
Rh 0.000 0.500 0.500
Rh 0.500 0.000 0.500
! M_tot = 0.00 μB per cell
! Calculated density = 6.00 g/cm3
! Space-group type = P4/mmm
! E_tot = -5.194 eV per atom

***

Record 11
! CaSmGaRh (GGA-PBE, optimized geometry); values from VASP
&SYSTEM
  ibrav = 0, nat = 8, ntyp = 4
/
ATOMIC_SPECIES
Ca 40.08 Ca.upf
Sm 150.36 Sm.upf
Ga 69.72 Ga.upf
Rh 102.91 Rh.upf
CELL_PARAMETERS angstrom
4.081 0.000 0.000
0.000 4.125 0.000
0.000 0.000 11.448
ATOMIC_POSITIONS crystal
Ca 0.000 0.000 0.000
Ca 0.000 0.500 0.500
Sm 0.500 0.000 0.288
Sm 0.500 0.500 0.788
Ga 0.500 0.000 0.584
Ga 0.500 0.500 0.084
Rh 0.000 0.000 0.723
Rh 0.000 0.500 0.223
! M_tot = 0.00 μB per cell
! Calculated density = 6.26 g/cm3
! Space-group type = Amm2
! E_tot = -4.878 eV per atom
! Energy of formation from the pure elements = -603 meV/atom

***

Record 12
! CaSmGaRh (GGA-PBE, optimized geometry); values from VASP
&SYSTEM
  ibrav = 0, nat = 16, ntyp = 4
/
ATOMIC_SPECIES
Ca 40.08 Ca.upf
Sm 150.36 Sm.upf
Ga 69.72 Ga.upf
Rh 102.91 Rh.upf
CELL_PARAMETERS angstrom
7.101 0.000 0.000
0.000 7.101 0.000
0.000 0.000 7.101
ATOMIC_POSITIONS crystal
Ca 0.000 0.000 0.000
Ca 0.000 0.500 0.500
Ca 0.500 0.000 0.500
Ca 0.500 0.500 0.000
Sm 0.000 0.000 0.500
Sm 0.000 0.500 0.000
Sm 0.500 0.000 0.000
Sm 0.500 0.500 0.500
Ga 0.250 0.250 0.250
Ga 0.250 0.750 0.750
Ga 0.750 0.250 0.750
Ga 0.750 0.750 0.250
Rh 0.250 0.250 0.750
Rh 0.250 0.750 0.250
Rh 0.750 0.250 0.250
Rh 0.750 0.750 0.750
! M_tot = 0.00 μB per cell
! Calculated density = 6.73 g/cm3
! Space-group type = F-43m
! E_tot = -4.767 eV per atom
! Energy of formation from the pure elements = -493 meV/atom